CoIrNF2 | PBE+U | relaxed

abc: 4.420 4.420 3.682
angles: 90.00 90.00 90.00
Site moments in Bohr magnetons follow the coordinates.
Fractional coordinates of all 5 atoms:
F: 0.500 0.000 0.000  -0.01
N: 0.000 0.000 0.500  0.02
F: 0.000 0.500 0.000  -0.01
Co: 0.500 0.500 0.500  2.23
Ir: 0.000 0.000 0.000  -0.15

- Crystal system: tetragonal
- Final energy: -5.1411 eV per atom